# 1
This record from the Alexandria database describes a relaxed Ho3Rh crystal. The functional is PBE-GGA.

Values from the calculation:
Formation energy from the elements = -0.46 eV per atom
Total moment = 0.00 μB/cell

Unit cell a=6.2395 b=6.2395 c=6.2395 alpha=146.37 beta=130.01 gamma=61.61
With the nearest neighbours (Å) after each atom.
Positions (direct):
Ho 0.0000 0.0000 0.0000  4 Rh 3.20, 4 Ho 3.39
Ho 0.3007 0.8007 0.5000  2 Rh 2.80
Ho 0.6993 0.1993 0.5000  2 Rh 2.80
Rh 0.5000 0.5000 0.0000  4 Ho 2.80


# 2
This record from the Alexandria database describes a relaxed Ho3Rh crystal. The functional is PBE-GGA.

Values from the calculation:
Formation energy from the elements = -0.49 eV per atom
Total moment = 0.00 μB/cell

Unit cell a=8.7607 b=8.7607 c=8.7607 alpha=96.94 beta=96.94 gamma=139.31
With the nearest neighbours (Å) after each atom.
Positions (direct):
Ho 0.0000 0.3580 0.3580  4 Rh 2.90-3.13
Ho 0.0000 0.6420 0.6420  4 Rh 2.90-3.13
Ho 0.1004 0.1004 0.5937  2 Rh 2.85
Ho 0.1554 0.3452 0.0000  2 Rh 2.99, 3 Ho 3.12-3.33
Ho 0.3452 0.1554 0.0000  2 Rh 2.99, 3 Ho 3.12-3.33
Ho 0.3580 0.0000 0.3580  4 Rh 2.90-3.13
Ho 0.4932 0.8996 0.0000  2 Rh 2.85
Ho 0.5068 0.5068 0.4063  2 Rh 2.85
Ho 0.6420 0.0000 0.6420  4 Rh 2.90-3.13
Ho 0.6548 0.6548 0.8102  2 Rh 2.99, 3 Ho 3.12-3.33
Ho 0.8446 0.8446 0.1898  2 Rh 2.99, 3 Ho 3.12-3.33
Ho 0.8996 0.4932 0.0000  2 Rh 2.85
Rh 0.2052 0.5000 0.7052  8 Ho 2.85-3.13
Rh 0.5000 0.2052 0.7052  8 Ho 2.85-3.13
Rh 0.5000 0.7948 0.2948  8 Ho 2.85-3.13
Rh 0.7948 0.5000 0.2948  8 Ho 2.85-3.13


# 3
This record from the Alexandria database describes a relaxed Ho5Rh6 crystal. The functional is PBE-GGA.

Values from the calculation:
Formation energy from the elements = -0.70 eV per atom
Total moment = 0.00 μB/cell

Unit cell a=8.1348 b=8.1348 c=4.6189 alpha=106.24 beta=106.24 gamma=50.40
With the nearest neighbours (Å) after each atom.
Positions (direct):
Ho 0.0000 0.0000 0.0000  8 Rh 2.77-2.89
Ho 0.1775 0.1775 0.6768  8 Rh 2.81-2.92
Ho 0.3606 0.3606 0.3589  6 Rh 2.74-2.95
Ho 0.6394 0.6394 0.6411  6 Rh 2.74-2.95
Ho 0.8225 0.8225 0.3232  8 Rh 2.81-2.92
Rh 0.0737 0.5903 0.8320  6 Ho 2.81-2.95
Rh 0.2215 0.7785 0.5000  6 Ho 2.74-2.92, 1 Rh 3.07
Rh 0.4097 0.9263 0.1680  6 Ho 2.81-2.95
Rh 0.5903 0.0737 0.8320  6 Ho 2.81-2.95
Rh 0.7785 0.2215 0.5000  6 Ho 2.74-2.92, 1 Rh 3.07
Rh 0.9263 0.4097 0.1680  6 Ho 2.81-2.95